InBiSe PBE optimized geometry; offset from the most stable computed form = 103.9 meV/atom; total magnetization = 0.0 μB per formula unit; total DFT energy (no corrections) = -3.481 eV per atom; raw formation energy = -0.3 eV per formula unit; space-group type = No. 156
1.0
3.866 0.000 0.000
-1.933 3.348 0.000
0.000 0.000 6.489
In Bi Se
1 1 1
Direct
0.000 0.000 0.000
0.333 0.667 0.629
0.667 0.333 0.250